Entry 1:
The following is a PBE-GGA calculation of crystalline Sm4HgSe3 at its relaxed geometry, from the Alexandria database.

```
data_Sm4HgSe3
_chemical_formula_sum 'Sm8 Hg2 Se6'
_symmetry_space_group_name_H-M 'I 4/m m m'
_symmetry_Int_Tables_number 139
_symmetry_space_group_name_Hall '-I 4 2'
_cell_length_a 5.9951
_cell_length_b 5.9951
_cell_length_c 11.9437
_cell_angle_alpha 90.00
_cell_angle_beta 90.00
_cell_angle_gamma 90.00
loop_
_atom_site_label
_atom_site_fract_x
_atom_site_fract_y
_atom_site_fract_z
_atom_site_occupancy
Sm1 0.0000 0.0000 0.2435 1
Sm2 0.0000 0.5000 0.0000 1
Hg1 0.0000 0.0000 0.5000 1
Se1 0.0000 0.0000 0.0000 1
Se2 0.0000 0.5000 0.2500 1
```

Results
Theoretical density   8.04 g/cm³
Crystal system   tetragonal
Volume   26.829 Å³/atom
Formation energy from raw total energies   -1.49 eV per atom
Total magnetic moment   0.00 μB/f.u.

***

Entry 2:
The following is a PBE-GGA calculation of crystalline Sm3HgSe2 at its relaxed geometry, from the Alexandria database.

```
data_Sm3HgSe2
_chemical_formula_sum 'Sm6 Hg2 Se4'
_symmetry_space_group_name_H-M 'I m m m'
_symmetry_Int_Tables_number 71
_symmetry_space_group_name_Hall '-I 2 2'
_cell_length_a 4.1267
_cell_length_b 6.0292
_cell_length_c 13.0986
_cell_angle_alpha 90.00
_cell_angle_beta 90.00
_cell_angle_gamma 90.00
loop_
_atom_site_label
_atom_site_fract_x
_atom_site_fract_y
_atom_site_fract_z
_atom_site_occupancy
Sm1 0.0000 0.0000 0.0000 1
Sm2 0.0000 0.0000 0.3240 1
Hg1 0.0000 0.5000 0.0000 1
Se1 0.0000 0.5000 0.3360 1
```

Results
Theoretical density   8.25 g/cm³
Crystal system   orthorhombic
Volume   27.159 Å³/atom
Formation energy from raw total energies   -1.37 eV per atom
Total magnetic moment   0.00 μB/f.u.

***

Entry 3:
The following is a PBE-GGA calculation of crystalline Sm4HgSe2 at its relaxed geometry, from the Alexandria database.

```
data_Sm4HgSe2
_chemical_formula_sum 'Sm16 Hg4 Se8'
_symmetry_space_group_name_H-M 'C m c m'
_symmetry_Int_Tables_number 63
_symmetry_space_group_name_Hall '-C 2c 2'
_cell_length_a 4.1587
_cell_length_b 13.5171
_cell_length_c 14.3580
_cell_angle_alpha 90.00
_cell_angle_beta 90.00
_cell_angle_gamma 90.00
loop_
_atom_site_label
_atom_site_fract_x
_atom_site_fract_y
_atom_site_fract_z
_atom_site_occupancy
Sm1 0.0000 0.0000 0.0000 1
Sm2 0.0000 0.2734 0.1217 1
Sm3 0.0000 0.4389 0.7500 1
Hg1 0.0000 0.1108 0.7500 1
Se1 0.0000 0.3632 0.5609 1
```

Results
Theoretical density   7.90 g/cm³
Crystal system   orthorhombic
Volume   28.825 Å³/atom
Formation energy from raw total energies   -1.17 eV per atom
Total magnetic moment   0.00 μB/f.u.

***

Entry 4:
The following is a PBE-GGA calculation of crystalline SmSn2HgSe4 at its relaxed geometry, from the Alexandria database.

```
data_SmSn2HgSe4
_chemical_formula_sum 'Sm1 Sn2 Hg1 Se4'
_symmetry_space_group_name_H-M 'P 1 2/m 1'
_symmetry_Int_Tables_number 10
_symmetry_space_group_name_Hall '-P 2y'
_cell_length_a 7.4504
_cell_length_b 4.2270
_cell_length_c 7.5047
_cell_angle_alpha 90.00
_cell_angle_beta 109.72
_cell_angle_gamma 90.00
loop_
_atom_site_label
_atom_site_fract_x
_atom_site_fract_y
_atom_site_fract_z
_atom_site_occupancy
Sm1 0.0000 0.0000 0.0000 1
Sn1 0.5000 0.0000 0.5000 1
Sn2 0.5000 0.5000 0.0000 1
Hg1 0.0000 0.5000 0.5000 1
Se1 0.2486 0.5000 0.2329 1
Se2 0.2516 0.0000 0.7634 1
```

Results
Theoretical density   6.75 g/cm³
Crystal system   monoclinic
Volume   27.811 Å³/atom
Formation energy from raw total energies   -0.72 eV per atom
Total magnetic moment   0.00 μB/f.u.

***

Entry 5:
The following is a PBE-GGA calculation of crystalline Sm6Hg2TeSe3 at its relaxed geometry, from the Alexandria database.

```
data_Sm6Hg2TeSe3
_chemical_formula_sum 'Sm12 Hg4 Te2 Se6'
_symmetry_space_group_name_H-M 'C 1 2/m 1'
_symmetry_Int_Tables_number 12
_symmetry_space_group_name_Hall '-C 2y'
_cell_length_a 19.2429
_cell_length_b 4.1642
_cell_length_c 8.8609
_cell_angle_alpha 90.00
_cell_angle_beta 109.03
_cell_angle_gamma 90.00
loop_
_atom_site_label
_atom_site_fract_x
_atom_site_fract_y
_atom_site_fract_z
_atom_site_occupancy
Sm1 0.0033 0.0000 0.2682 1
Sm2 0.1575 0.5000 0.6173 1
Sm3 0.1728 0.5000 0.0978 1
Hg1 0.1803 0.0000 0.3722 1
Te1 0.0000 0.5000 0.0000 1
Se1 0.0000 0.5000 0.5000 1
Se2 0.1617 0.0000 0.8539 1
```

Results
Theoretical density   8.25 g/cm³
Crystal system   monoclinic
Volume   27.968 Å³/atom
Formation energy from raw total energies   -1.29 eV per atom
Total magnetic moment   0.00 μB/f.u.

***

Entry 6:
The following is a PBE-GGA calculation of crystalline Sm6HgTe3Se2 at its relaxed geometry, from the Alexandria database.

```
data_Sm6HgTe3Se2
_chemical_formula_sum 'Sm12 Hg2 Te6 Se4'
_symmetry_space_group_name_H-M 'C 1 2/m 1'
_symmetry_Int_Tables_number 12
_symmetry_space_group_name_Hall '-C 2y'
_cell_length_a 7.5029
_cell_length_b 12.9503
_cell_length_c 7.6136
_cell_angle_alpha 90.00
_cell_angle_beta 109.02
_cell_angle_gamma 90.00
loop_
_atom_site_label
_atom_site_fract_x
_atom_site_fract_y
_atom_site_fract_z
_atom_site_occupancy
Sm1 0.2376 0.0000 0.2280 1
Sm2 0.2460 0.3306 0.2317 1
Hg1 0.0000 0.5000 0.0000 1
Te1 0.0000 0.0000 0.5000 1
Te2 0.0000 0.3351 0.5000 1
Se1 0.0000 0.1666 0.0000 1
```

Results
Theoretical density   7.80 g/cm³
Crystal system   monoclinic
Volume   29.142 Å³/atom
Formation energy from raw total energies   -1.40 eV per atom
Total magnetic moment   0.00 μB/f.u.

***

Entry 7:
The following is a PBE-GGA calculation of crystalline Sm4Hg2TeSe at its relaxed geometry, from the Alexandria database.

```
data_Sm4Hg2TeSe
_chemical_formula_sum 'Sm4 Hg2 Te1 Se1'
_symmetry_space_group_name_H-M 'P 1 2/m 1'
_symmetry_Int_Tables_number 10
_symmetry_space_group_name_Hall '-P 2y'
_cell_length_a 7.3107
_cell_length_b 4.1757
_cell_length_c 8.0489
_cell_angle_alpha 90.00
_cell_angle_beta 107.21
_cell_angle_gamma 90.00
loop_
_atom_site_label
_atom_site_fract_x
_atom_site_fract_y
_atom_site_fract_z
_atom_site_occupancy
Sm1 0.2335 0.0000 0.2337 1
Sm2 0.2421 0.5000 0.7581 1
Hg1 0.0000 0.0000 0.5000 1
Hg2 0.5000 0.5000 0.5000 1
Te1 0.5000 0.0000 0.0000 1
Se1 0.0000 0.5000 0.0000 1
```

Results
Theoretical density   8.55 g/cm³
Crystal system   monoclinic
Volume   29.340 Å³/atom
Formation energy from raw total energies   -1.00 eV per atom
Total magnetic moment   0.00 μB/f.u.

***

Entry 8:
The following is a PBE-GGA calculation of crystalline Sm6Hg3TeSe2 at its relaxed geometry, from the Alexandria database.

```
data_Sm6Hg3TeSe2
_chemical_formula_sum 'Sm12 Hg6 Te2 Se4'
_symmetry_space_group_name_H-M 'C 1 2/m 1'
_symmetry_Int_Tables_number 12
_symmetry_space_group_name_Hall '-C 2y'
_cell_length_a 19.4730
_cell_length_b 4.1514
_cell_length_c 9.0886
_cell_angle_alpha 90.00
_cell_angle_beta 109.63
_cell_angle_gamma 90.00
loop_
_atom_site_label
_atom_site_fract_x
_atom_site_fract_y
_atom_site_fract_z
_atom_site_occupancy
Sm1 0.0085 0.0000 0.2543 1
Sm2 0.1689 0.5000 0.0959 1
Sm3 0.1711 0.5000 0.5663 1
Hg1 0.0000 0.5000 0.5000 1
Hg2 0.1613 0.0000 0.8239 1
Te1 0.0000 0.5000 0.0000 1
Se1 0.1687 0.0000 0.3305 1
```

Results
Theoretical density   8.59 g/cm³
Crystal system   monoclinic
Volume   28.835 Å³/atom
Formation energy from raw total energies   -1.04 eV per atom
Total magnetic moment   0.00 μB/f.u.

***

Entry 9:
The following is a PBE-GGA calculation of crystalline SmTlHgSe3 at its relaxed geometry, from the Alexandria database.

```
data_SmTlHgSe3
_chemical_formula_sum 'Sm2 Tl2 Hg2 Se6'
_symmetry_space_group_name_H-M 'P 1 21/m 1'
_symmetry_Int_Tables_number 11
_symmetry_space_group_name_Hall '-P 2yb'
_cell_length_a 8.9511
_cell_length_b 4.3245
_cell_length_c 10.1168
_cell_angle_alpha 90.00
_cell_angle_beta 105.82
_cell_angle_gamma 90.00
loop_
_atom_site_label
_atom_site_fract_x
_atom_site_fract_y
_atom_site_fract_z
_atom_site_occupancy
Sm1 0.1757 0.2500 0.1405 1
Tl1 0.2863 0.7500 0.7793 1
Hg1 0.4083 0.7500 0.3865 1
Se1 0.0425 0.2500 0.8458 1
Se2 0.2667 0.2500 0.4613 1
Se3 0.3975 0.7500 0.1207 1
```

Results
Theoretical density   6.98 g/cm³
Crystal system   monoclinic
Volume   31.399 Å³/atom
Formation energy from raw total energies   -0.93 eV per atom
Total magnetic moment   0.00 μB/f.u.